# 1
VASP calculation (PBE) on crystalline AlTlB3 at its relaxed geometry.

Results
- Spin magnetization: 0.0 μB/f.u.
- Energy of formation: 2.4896 eV/atom
- DOS(E_F): 3.39 states/eV/cell

Geometry as CIF:
```
data_AlTlB3
_chemical_formula_sum 'Al1 Tl1 B3'
_cell_length_a 4.557
_cell_length_b 4.557
_cell_length_c 4.557
_cell_angle_alpha 90.00
_cell_angle_beta 90.00
_cell_angle_gamma 90.00
_space_group_name_H-M_alt 'P 1'
_space_group_IT_number 1
_space_group_name_Hall 'P 1'
loop_
_atom_site_label
_atom_site_type_symbol
_atom_site_fract_x
_atom_site_fract_y
_atom_site_fract_z
Tl1 Tl 0.000 0.000 0.000
B1 B 0.000 0.500 0.000
B2 B 0.000 0.000 0.500
B3 B 0.500 0.000 0.000
Al1 Al 0.500 0.500 0.500
```

# 2
VASP calculation (PBE) on crystalline Ac4La3Rh2 at its relaxed geometry.

Results
- Spin magnetization: 0.0 μB/f.u.
- Energy of formation: -0.3507 eV/atom
- DOS(E_F): 11.07 states/eV/cell

Geometry as CIF:
```
data_Ac4La3Rh2
_chemical_formula_sum 'Ac4 La3 Rh2'
_cell_length_a 4.011
_cell_length_b 9.816
_cell_length_c 9.233
_cell_angle_alpha 114.45
_cell_angle_beta 102.55
_cell_angle_gamma 90.00
_space_group_name_H-M_alt 'P 1'
_space_group_IT_number 1
_space_group_name_Hall 'P 1'
loop_
_atom_site_label
_atom_site_type_symbol
_atom_site_fract_x
_atom_site_fract_y
_atom_site_fract_z
Ac1 Ac 0.227 0.648 0.454
Ac2 Ac 0.773 0.352 0.546
Ac3 Ac 0.634 0.893 0.268
Ac4 Ac 0.366 0.107 0.732
La1 La 0.067 0.195 0.135
La2 La 0.933 0.805 0.865
La3 La 0.000 0.500 0.000
Rh1 Rh 0.385 0.574 0.770
Rh2 Rh 0.615 0.426 0.230
```

# 3
VASP calculation (PBE) on crystalline LaCd3Hg at its relaxed geometry.

Results
- Spin magnetization: 0.0 μB/f.u.
- Energy of formation: -0.1484 eV/atom
- DOS(E_F): 2.82 states/eV/cell

Geometry as CIF:
```
data_LaCd3Hg
_chemical_formula_sum 'La1 Cd3 Hg1'
_cell_length_a 5.585
_cell_length_b 5.585
_cell_length_c 5.585
_cell_angle_alpha 65.36
_cell_angle_beta 65.36
_cell_angle_gamma 65.36
_space_group_name_H-M_alt 'P 1'
_space_group_IT_number 1
_space_group_name_Hall 'P 1'
loop_
_atom_site_label
_atom_site_type_symbol
_atom_site_fract_x
_atom_site_fract_y
_atom_site_fract_z
La1 La 0.945 0.945 0.945
Cd1 Cd 0.826 0.329 0.329
Cd2 Cd 0.329 0.826 0.329
Cd3 Cd 0.329 0.329 0.826
Hg1 Hg 0.696 0.696 0.696
```

# 4
VASP calculation (PBE) on crystalline HoEr2Co at its relaxed geometry.

Results
- Spin magnetization: 0.9 μB/f.u.
- Energy of formation: -0.0736 eV/atom
- DOS(E_F): 4.42 states/eV/cell

Geometry as CIF:
```
data_HoEr2Co
_chemical_formula_sum 'Ho1 Er2 Co1'
_cell_length_a 3.366
_cell_length_b 3.366
_cell_length_c 8.736
_cell_angle_alpha 90.00
_cell_angle_beta 90.00
_cell_angle_gamma 90.00
_space_group_name_H-M_alt 'P 1'
_space_group_IT_number 1
_space_group_name_Hall 'P 1'
loop_
_atom_site_label
_atom_site_type_symbol
_atom_site_fract_x
_atom_site_fract_y
_atom_site_fract_z
Co1 Co 0.500 0.500 0.000
Ho1 Ho 0.500 0.500 0.500
Er1 Er 0.000 0.000 0.816
Er2 Er 0.000 0.000 0.184
```

# 5
VASP calculation (PBE) on crystalline GdPuRu2 at its relaxed geometry.

Results
- Spin magnetization: 11.0 μB/f.u.
- Energy of formation: -0.2145 eV/atom
- DOS(E_F): 4.57 states/eV/cell

Geometry as CIF:
```
data_GdPuRu2
_chemical_formula_sum 'Gd1 Pu1 Ru2'
_cell_length_a 4.808
_cell_length_b 4.808
_cell_length_c 4.808
_cell_angle_alpha 60.00
_cell_angle_beta 60.00
_cell_angle_gamma 60.00
_space_group_name_H-M_alt 'P 1'
_space_group_IT_number 1
_space_group_name_Hall 'P 1'
loop_
_atom_site_label
_atom_site_type_symbol
_atom_site_fract_x
_atom_site_fract_y
_atom_site_fract_z
Ru1 Ru 0.250 0.250 0.250
Ru2 Ru 0.750 0.750 0.750
Gd1 Gd 0.500 0.500 0.500
Pu1 Pu 0.000 0.000 0.000
```

# 6
VASP calculation (PBE) on crystalline Pm2PrNd6Er at its relaxed geometry.

Results
- Spin magnetization: 0.0 μB/f.u.
- Energy of formation: 0.1111 eV/atom
- DOS(E_F): 28.95 states/eV/cell

Geometry as CIF:
```
data_Pm2PrNd6Er
_chemical_formula_sum 'Pm4 Pr2 Nd12 Er2'
_cell_length_a 9.855
_cell_length_b 9.006
_cell_length_c 9.006
_cell_angle_alpha 117.81
_cell_angle_beta 94.09
_cell_angle_gamma 94.09
_space_group_name_H-M_alt 'P 1'
_space_group_IT_number 1
_space_group_name_Hall 'P 1'
loop_
_atom_site_label
_atom_site_type_symbol
_atom_site_fract_x
_atom_site_fract_y
_atom_site_fract_z
Pm1 Pm 0.456 0.801 0.701
Pm2 Pm 0.044 0.299 0.199
Pm3 Pm 0.544 0.199 0.299
Pm4 Pm 0.956 0.701 0.801
Pr1 Pr 0.250 0.979 0.021
Pr2 Pr 0.750 0.021 0.979
Nd1 Nd 0.054 0.120 0.751
Nd2 Nd 0.446 0.249 0.880
Nd3 Nd 0.946 0.880 0.249
Nd4 Nd 0.554 0.751 0.120
Nd5 Nd 0.312 0.988 0.432
Nd6 Nd 0.188 0.568 0.012
Nd7 Nd 0.688 0.012 0.568
Nd8 Nd 0.812 0.432 0.988
Nd9 Nd 0.119 0.706 0.493
Nd10 Nd 0.381 0.507 0.294
Nd11 Nd 0.881 0.294 0.507
Nd12 Nd 0.619 0.493 0.706
Er1 Er 0.250 0.409 0.591
Er2 Er 0.750 0.591 0.409
```

# 7
VASP calculation (PBE) on crystalline Ho2Ge3Pt5 at its relaxed geometry.

Results
- Spin magnetization: 0.0 μB/f.u.
- Energy of formation: -0.8792 eV/atom
- DOS(E_F): 10.09 states/eV/cell

Geometry as CIF:
```
data_Ho2Ge3Pt5
_chemical_formula_sum 'Ho4 Ge6 Pt10'
_cell_length_a 5.691
_cell_length_b 8.543
_cell_length_c 8.543
_cell_angle_alpha 83.73
_cell_angle_beta 70.54
_cell_angle_gamma 70.54
_space_group_name_H-M_alt 'P 1'
_space_group_IT_number 1
_space_group_name_Hall 'P 1'
loop_
_atom_site_label
_atom_site_type_symbol
_atom_site_fract_x
_atom_site_fract_y
_atom_site_fract_z
Ho1 Ho 0.135 0.592 0.138
Ho2 Ho 0.635 0.138 0.592
Ho3 Ho 0.865 0.408 0.862
Ho4 Ho 0.365 0.862 0.408
Ge1 Ge 0.364 0.512 0.760
Ge2 Ge 0.864 0.760 0.512
Ge3 Ge 0.636 0.488 0.240
Ge4 Ge 0.136 0.240 0.488
Ge5 Ge 0.250 0.000 0.000
Ge6 Ge 0.750 0.000 0.000
Pt1 Pt 0.401 0.268 0.931
Pt2 Pt 0.901 0.931 0.268
Pt3 Pt 0.599 0.732 0.069
Pt4 Pt 0.099 0.069 0.732
Pt5 Pt 0.485 0.765 0.765
Pt6 Pt 0.515 0.235 0.235
Pt7 Pt 0.750 0.500 0.500
Pt8 Pt 0.250 0.500 0.500
Pt9 Pt 0.015 0.235 0.235
Pt10 Pt 0.985 0.765 0.765
```

# 8
VASP calculation (PBE) on crystalline HfCoHg at its relaxed geometry.

Results
- Spin magnetization: 0.0 μB/f.u.
- Energy of formation: 0.1000 eV/atom
- DOS(E_F): 16.84 states/eV/cell

Geometry as CIF:
```
data_HfCoHg
_chemical_formula_sum 'Hf6 Co6 Hg6'
_cell_length_a 6.043
_cell_length_b 6.043
_cell_length_c 10.937
_cell_angle_alpha 90.00
_cell_angle_beta 90.00
_cell_angle_gamma 120.00
_space_group_name_H-M_alt 'P 1'
_space_group_IT_number 1
_space_group_name_Hall 'P 1'
loop_
_atom_site_label
_atom_site_type_symbol
_atom_site_fract_x
_atom_site_fract_y
_atom_site_fract_z
Hg1 Hg 0.500 0.000 0.667
Hg2 Hg 0.000 0.000 0.500
Hg3 Hg 0.000 0.000 0.833
Hg4 Hg 0.000 0.000 0.167
Hg5 Hg 0.500 0.500 0.000
Hg6 Hg 0.000 0.500 0.333
Co1 Co 0.394 0.788 0.167
Co2 Co 0.788 0.394 0.833
Co3 Co 0.606 0.394 0.500
Co4 Co 0.606 0.212 0.167
Co5 Co 0.394 0.606 0.500
Co6 Co 0.212 0.606 0.833
Hf1 Hf 0.500 0.500 0.280
Hf2 Hf 0.000 0.500 0.613
Hf3 Hf 0.500 0.500 0.720
Hf4 Hf 0.000 0.500 0.053
Hf5 Hf 0.500 0.000 0.947
Hf6 Hf 0.500 0.000 0.387
```

# 9
VASP calculation (PBE) on crystalline Li2AgPd7 at its relaxed geometry.

Results
- Spin magnetization: 0.0 μB/f.u.
- Energy of formation: 0.3261 eV/atom
- DOS(E_F): 11.18 states/eV/cell

Geometry as CIF:
```
data_Li2AgPd7
_chemical_formula_sum 'Li2 Ag1 Pd7'
_cell_length_a 4.193
_cell_length_b 6.867
_cell_length_c 6.867
_cell_angle_alpha 117.21
_cell_angle_beta 90.00
_cell_angle_gamma 90.00
_space_group_name_H-M_alt 'P 1'
_space_group_IT_number 1
_space_group_name_Hall 'P 1'
loop_
_atom_site_label
_atom_site_type_symbol
_atom_site_fract_x
_atom_site_fract_y
_atom_site_fract_z
Li1 Li 0.500 0.696 0.304
Li2 Li 0.500 0.304 0.696
Ag1 Ag 0.000 0.000 0.000
Pd1 Pd 0.000 0.767 0.233
Pd2 Pd 0.000 0.233 0.767
Pd3 Pd 0.500 0.068 0.310
Pd4 Pd 0.500 0.932 0.690
Pd5 Pd 0.500 0.310 0.068
Pd6 Pd 0.500 0.690 0.932
Pd7 Pd 0.500 0.500 0.500
```

# 10
VASP calculation (PBE) on crystalline Dy2ZnRh at its relaxed geometry.

Results
- Spin magnetization: 0.0 μB/f.u.
- Energy of formation: -0.6153 eV/atom
- DOS(E_F): 3.04 states/eV/cell

Geometry as CIF:
```
data_Dy2ZnRh
_chemical_formula_sum 'Dy2 Zn1 Rh1'
_cell_length_a 3.493
_cell_length_b 3.493
_cell_length_c 7.051
_cell_angle_alpha 90.00
_cell_angle_beta 90.00
_cell_angle_gamma 90.00
_space_group_name_H-M_alt 'P 1'
_space_group_IT_number 1
_space_group_name_Hall 'P 1'
loop_
_atom_site_label
_atom_site_type_symbol
_atom_site_fract_x
_atom_site_fract_y
_atom_site_fract_z
Zn1 Zn 0.500 0.500 0.500
Rh1 Rh 0.500 0.500 0.000
Dy1 Dy 0.000 0.000 0.766
Dy2 Dy 0.000 0.000 0.234
```

# 11
VASP calculation (PBE) on crystalline CaP2W at its relaxed geometry.

Results
- Spin magnetization: 0.0 μB/f.u.
- Energy of formation: -0.4564 eV/atom
- DOS(E_F): 2.98 states/eV/cell

Geometry as CIF:
```
data_CaP2W
_chemical_formula_sum 'Ca1 P2 W1'
_cell_length_a 7.084
_cell_length_b 7.084
_cell_length_c 7.084
_cell_angle_alpha 153.34
_cell_angle_beta 152.17
_cell_angle_gamma 38.92
_space_group_name_H-M_alt 'P 1'
_space_group_IT_number 1
_space_group_name_Hall 'P 1'
loop_
_atom_site_label
_atom_site_type_symbol
_atom_site_fract_x
_atom_site_fract_y
_atom_site_fract_z
Ca1 Ca 0.702 0.202 0.500
P1 P 0.026 0.026 0.000
P2 P 0.320 0.820 0.500
W1 W 0.452 0.452 0.000
```

# 12
VASP calculation (PBE) on crystalline K2SrAuO at its relaxed geometry.

Results
- Spin magnetization: 0.0 μB/f.u.
- Energy relative to the elements, uncorrected: -0.986 eV/atom
- DOS(E_F): 1.98 states/eV/cell

Geometry as CIF:
```
data_K2SrAuO
_chemical_formula_sum 'K2 Sr1 Au1 O1'
_cell_length_a 5.400
_cell_length_b 5.400
_cell_length_c 4.912
_cell_angle_alpha 90.00
_cell_angle_beta 90.00
_cell_angle_gamma 90.00
_space_group_name_H-M_alt 'P 1'
_space_group_IT_number 1
_space_group_name_Hall 'P 1'
loop_
_atom_site_label
_atom_site_type_symbol
_atom_site_fract_x
_atom_site_fract_y
_atom_site_fract_z
Sr1 Sr 0.000 0.000 0.500
K1 K 0.000 0.500 0.000
K2 K 0.500 0.000 0.000
Au1 Au 0.500 0.500 0.500
O1 O 0.000 0.000 0.000
```